Here is crystalline Tb3CePm2As6 at its relaxed geometry from Alexandria. Energies are from PBE.

Results
- formation energy (eV per atom) = -1.52

abc: 9.346 9.346 8.369
angles: 102.87 102.87 25.90
Fractional positions:
Tb  0.000  0.000  0.000
Tb  0.332  0.332  0.667
Tb  0.668  0.668  0.333
Ce  0.000  0.000  0.500
Pm  0.333  0.333  0.165
Pm  0.667  0.667  0.835
As  0.165  0.165  0.087
As  0.166  0.166  0.579
As  0.499  0.499  0.750
As  0.501  0.501  0.250
As  0.834  0.834  0.421
As  0.835  0.835  0.913

Here is crystalline ReRh2Se at its relaxed geometry from Alexandria. Energies are from PBE.

Results
- formation energy (no corrections) (meV/atom) = 172.6

abc: 3.963 2.896 10.459
angles: 90.00 90.00 90.00
Fractional positions:
Re  0.000  0.000  0.000
Re  0.000  0.500  0.500
Rh  0.000  0.000  0.257
Rh  0.000  0.500  0.757
Rh  0.500  0.000  0.613
Rh  0.500  0.500  0.113
Se  0.500  0.000  0.851
Se  0.500  0.500  0.351

Here is crystalline DyErAlHg at its relaxed geometry from Alexandria. Energies are from PBE.

Results
- formation energy (eV per atom) = -0.43
- distance to the lowest polymorph of the same formula (eV/f.u.) = 0.000

abc: 3.600 3.600 7.503
angles: 90.00 90.00 90.00
Fractional positions:
Dy  0.000  0.000  0.000
Er  0.000  0.000  0.519
Al  0.500  0.500  0.758
Hg  0.500  0.500  0.266

Here is crystalline HoTmTh2Se4 at its relaxed geometry from Alexandria. Energies are from PBE.

Results
- formation energy (no corrections) (meV/atom) = -1612.4

abc: 6.893 4.011 7.533
angles: 90.00 108.07 90.00
Fractional positions:
Ho  0.000  0.000  0.000
Tm  0.500  0.500  0.000
Th  0.000  0.500  0.500
Th  0.500  0.000  0.500
Se  0.245  0.500  0.230
Se  0.259  0.000  0.771
Se  0.741  0.000  0.229
Se  0.755  0.500  0.770

Here is crystalline Ba4I2BrN at its relaxed geometry from Alexandria. Energies are from PBE.

Results
- formation energy (no corrections) (meV/atom) = -1204.7

abc: 8.163 4.468 8.510
angles: 90.00 107.00 90.00
Fractional positions:
Ba  0.194  0.000  0.186
Ba  0.217  0.500  0.800
Ba  0.783  0.500  0.200
Ba  0.806  0.000  0.814
I  0.000  0.000  0.500
I  0.500  0.500  0.500
Br  0.500  0.000  0.000
N  0.000  0.500  0.000

Here is crystalline HfReSb3 at its relaxed geometry from Alexandria. Energies are from PBE.

Results
- formation energy (no corrections) (meV/atom) = 1011.5
- distance to the lowest polymorph of the same formula (eV/f.u.) = 0.000

abc: 5.173 5.173 5.173
angles: 90.00 90.00 90.00
Fractional positions:
Hf  0.000  0.000  0.000
Re  0.500  0.500  0.500
Sb  0.000  0.500  0.500
Sb  0.500  0.000  0.500
Sb  0.500  0.500  0.000

Here is crystalline Pm2ErAl at its relaxed geometry from Alexandria. Energies are from PBE.

Results
- formation energy (eV per atom) = -0.07
- distance to the lowest polymorph of the same formula (eV/f.u.) = 0.460

abc: 7.664 7.664 7.664
angles: 90.00 90.00 90.00
Fractional positions:
Pm  0.250  0.250  0.250
Pm  0.250  0.250  0.750
Pm  0.250  0.750  0.250
Pm  0.250  0.750  0.750
Pm  0.750  0.250  0.250
Pm  0.750  0.250  0.750
Pm  0.750  0.750  0.250
Pm  0.750  0.750  0.750
Er  0.000  0.000  0.000
Er  0.000  0.500  0.500
Er  0.500  0.000  0.500
Er  0.500  0.500  0.000
Al  0.000  0.000  0.500
Al  0.000  0.500  0.000
Al  0.500  0.000  0.000
Al  0.500  0.500  0.500

Here is crystalline Ba12Au5N2 at its relaxed geometry from Alexandria. Energies are from PBE.

Results
- formation energy (no corrections) (meV/atom) = -493.4

abc: 10.009 10.009 10.492
angles: 105.28 105.28 50.33
Fractional positions:
Ba  0.000  0.000  0.188
Ba  0.000  0.000  0.812
Ba  0.085  0.597  0.919
Ba  0.099  0.598  0.427
Ba  0.402  0.901  0.573
Ba  0.403  0.915  0.081
Ba  0.498  0.498  0.180
Ba  0.502  0.502  0.820
Ba  0.597  0.085  0.919
Ba  0.598  0.099  0.427
Ba  0.901  0.402  0.573
Ba  0.915  0.403  0.081
Au  0.188  0.188  0.839
Au  0.192  0.192  0.349
Au  0.500  0.500  0.500
Au  0.808  0.808  0.651
Au  0.812  0.812  0.161
N  0.259  0.741  0.000
N  0.741  0.259  0.000

| no. | E (hartree per atom) | volume (Å³ per cell) |
| --- | --- | --- |
| 1 | -0.2311 | 311 |
| 2 | -0.2751 | 120 |
| 3 | -0.1372 | 97 |
| 4 | -0.2330 | 198 |
| 5 | -0.1398 | 297 |
| 6 | -0.2184 | 138 |
| 7 | -0.1661 | 450 |
| 8 | -0.1267 | 774 |